Below is crystalline ScTe2I at its relaxed geometry, with properties calculated at the GGA-PBE level.

Cell lengths 8.673, 8.673, 8.673 Å; angles 131.35, 131.35, 71.26 degrees
Element x y z (fractional)
Sc1 0.000 0.000 0.000
Sc2 0.750 0.250 0.500
Te1 0.041 0.625 0.916
Te2 0.375 0.291 0.416
Te3 0.709 0.125 0.084
Te4 0.875 0.959 0.584
I1 0.250 0.750 0.500
I2 0.500 0.500 0.000

Values from the calculation:
The uncorrected formation energy is -1.08 eV per formula unit. As for the space group: I-42d, No. 122. The value obtained for the total energy is -3.8118 eV/atom. The value obtained for the offset from the most stable computed form is 0.453 eV per atom. The density of states at the Fermi level comes out at 6.105 states/eV/f.u. The value obtained for the magnetic moment is 0.0 μB/f.u.

---

Below is crystalline ScTe2I at its relaxed geometry, with properties calculated at the GGA-PBE level.

Cell lengths 9.340, 9.340, 9.340 Å; angles 26.92, 26.92, 26.92 degrees
Element x y z (fractional)
Sc1 0.000 0.000 0.000
Te1 0.390 0.390 0.390
Te2 0.610 0.610 0.610
I1 0.500 0.500 0.500

Values from the calculation:
The uncorrected formation energy is -2.89 eV per formula unit. As for the space group: R-3m, No. 166. The value obtained for the total energy is -4.2645 eV/atom. The value obtained for the offset from the most stable computed form is 0.000 eV per atom. The density of states at the Fermi level comes out at 0.271 states/eV/f.u. The value obtained for the magnetic moment is 0.0 μB/f.u.

---

Below is crystalline ScTeI2 at its relaxed geometry, with properties calculated at the GGA-PBE level.

Cell lengths 8.026, 8.026, 8.026 Å; angles 97.08, 97.08, 138.89 degrees
Element x y z (fractional)
Sc1 0.000 0.000 0.000
Sc2 0.750 0.250 0.500
Te1 0.250 0.750 0.500
Te2 0.500 0.500 0.000
I1 0.375 0.226 0.351
I2 0.774 0.125 0.149
I3 0.875 0.024 0.649
I4 0.976 0.625 0.851

Values from the calculation:
The uncorrected formation energy is -2.80 eV per formula unit. As for the space group: I-42d, No. 122. The value obtained for the total energy is -3.8437 eV/atom. The value obtained for the offset from the most stable computed form is 0.000 eV per atom. The density of states at the Fermi level comes out at 5.946 states/eV/f.u. The value obtained for the magnetic moment is 0.0 μB/f.u.

---

Below is crystalline ScTe2I at its relaxed geometry, with properties calculated at the GGA-PBE level.

Cell lengths 14.360, 14.360, 14.360 Å; angles 13.44, 13.44, 13.44 degrees
Element x y z (fractional)
Sc1 0.000 0.000 0.000
Te1 0.067 0.067 0.067
Te2 0.933 0.933 0.933
I1 0.500 0.500 0.500

Values from the calculation:
The uncorrected formation energy is 0.33 eV per formula unit. As for the space group: R-3m, No. 166. The value obtained for the total energy is -3.4577 eV/atom. The value obtained for the offset from the most stable computed form is 0.807 eV per atom. The density of states at the Fermi level comes out at 4.973 states/eV/f.u. The value obtained for the magnetic moment is 0.0 μB/f.u.

---

Below is crystalline Sc7TeI12 at its relaxed geometry, with properties calculated at the GGA-PBE level.

Cell lengths 9.432, 9.432, 9.432 Å; angles 107.84, 107.84, 107.84 degrees
Element x y z (fractional)
Sc1 0.000 0.000 0.000
Sc2 0.181 0.392 0.463
Sc3 0.392 0.463 0.181
Sc4 0.463 0.181 0.392
Sc5 0.537 0.819 0.608
Sc6 0.608 0.537 0.819
Sc7 0.819 0.608 0.537
Te1 0.500 0.500 0.500
I1 0.038 0.345 0.115
I2 0.115 0.038 0.345
I3 0.187 0.722 0.577
I4 0.278 0.423 0.813
I5 0.345 0.115 0.038
I6 0.423 0.813 0.278
I7 0.577 0.187 0.722
I8 0.655 0.885 0.962
I9 0.722 0.577 0.187
I10 0.813 0.278 0.423
I11 0.885 0.962 0.655
I12 0.962 0.655 0.885

Values from the calculation:
The uncorrected formation energy is -21.83 eV per formula unit. As for the space group: R-3, No. 148. The value obtained for the total energy is -4.3947 eV/atom. The density of states at the Fermi level comes out at 5.250 states/eV/f.u. The value obtained for the magnetic moment is 1.1 μB/f.u.

---

Below is crystalline ScTe2I at its relaxed geometry, with properties calculated at the GGA-PBE level.

Cell lengths 5.415, 5.415, 5.415 Å; angles 60.00, 60.00, 60.00 degrees
Element x y z (fractional)
Sc1 0.000 0.000 0.000
Te1 0.250 0.250 0.250
Te2 0.750 0.750 0.750
I1 0.500 0.500 0.500

Values from the calculation:
The uncorrected formation energy is -0.50 eV per formula unit. As for the space group: Fm-3m, No. 225. The value obtained for the total energy is -3.6653 eV/atom. The value obtained for the offset from the most stable computed form is 0.599 eV per atom. The density of states at the Fermi level comes out at 5.157 states/eV/f.u. The value obtained for the magnetic moment is 0.0 μB/f.u.

---

Below is crystalline Sc2Te2I at its relaxed geometry, with properties calculated at the GGA-PBE level.

Cell lengths 9.162, 9.162, 9.162 Å; angles 153.75, 153.75, 37.46 degrees
Element x y z (fractional)
Sc1 0.167 0.167 0.000
Sc2 0.833 0.833 0.000
Te1 0.336 0.336 0.000
Te2 0.664 0.664 0.000
I1 0.000 0.000 0.000

Values from the calculation:
The uncorrected formation energy is -5.82 eV per formula unit. As for the space group: I4/mmm, No. 139. The value obtained for the total energy is -5.2635 eV/atom. The value obtained for the offset from the most stable computed form is 0.000 eV per atom. The density of states at the Fermi level comes out at 2.153 states/eV/f.u. The value obtained for the magnetic moment is 0.0 μB/f.u.

---

Below is crystalline ScTeI2 at its relaxed geometry, with properties calculated at the GGA-PBE level.

Cell lengths 5.468, 5.468, 5.468 Å; angles 60.00, 60.00, 60.00 degrees
Element x y z (fractional)
Sc1 0.000 0.000 0.000
Te1 0.500 0.500 0.500
I1 0.250 0.250 0.250
I2 0.750 0.750 0.750

Values from the calculation:
The uncorrected formation energy is -0.63 eV per formula unit. As for the space group: Fm-3m, No. 225. The value obtained for the total energy is -3.3014 eV/atom. The value obtained for the offset from the most stable computed form is 0.542 eV per atom. The density of states at the Fermi level comes out at 5.384 states/eV/f.u. The value obtained for the magnetic moment is 0.0 μB/f.u.

---

Below is crystalline Sc3TeI7 at its relaxed geometry, with properties calculated at the GGA-PBE level.

Cell lengths 8.332, 8.332, 7.437 Å; angles 90.00, 90.00, 120.00 degrees
Element x y z (fractional)
Sc1 0.013 0.507 0.000
Sc2 0.493 0.507 0.000
Sc3 0.493 0.987 0.000
Te1 0.333 0.667 0.227
I1 0.170 0.340 0.768
I2 0.170 0.830 0.768
I3 0.341 0.170 0.215
I4 0.660 0.830 0.768
I5 0.667 0.333 0.764
I6 0.830 0.170 0.215
I7 0.830 0.659 0.215

Values from the calculation:
The uncorrected formation energy is -13.47 eV per formula unit. As for the space group: P3m1, No. 156. The value obtained for the total energy is -4.2231 eV/atom. The density of states at the Fermi level comes out at 0.000 states/eV/f.u. The value obtained for the magnetic moment is 0.0 μB/f.u.

---

Below is crystalline ScTeI at its relaxed geometry, with properties calculated at the GGA-PBE level.

Cell lengths 4.135, 4.135, 7.345 Å; angles 90.00, 90.00, 120.00 degrees
Element x y z (fractional)
Sc1 0.000 0.000 0.000
Te1 0.333 0.667 0.212
I1 0.667 0.333 0.743

Values from the calculation:
The uncorrected formation energy is -3.63 eV per formula unit. As for the space group: P3m1, No. 156. The value obtained for the total energy is -4.8857 eV/atom. The value obtained for the magnetic moment is 0.0 μB/f.u.

---

Below is crystalline Sc2Te2I at its relaxed geometry, with properties calculated at the GGA-PBE level.

Cell lengths 8.257, 8.257, 3.854 Å; angles 90.00, 90.00, 90.00 degrees
Element x y z (fractional)
Sc1 0.143 0.357 0.000
Sc2 0.357 0.857 0.000
Sc3 0.643 0.143 0.000
Sc4 0.857 0.643 0.000
Te1 0.143 0.643 0.500
Te2 0.357 0.143 0.500
Te3 0.643 0.857 0.500
Te4 0.857 0.357 0.500
I1 0.000 0.000 0.000
I2 0.500 0.500 0.000

Values from the calculation:
The uncorrected formation energy is -5.19 eV per formula unit. As for the space group: P4/mbm, No. 127. The value obtained for the total energy is -5.1376 eV/atom. The value obtained for the offset from the most stable computed form is 0.126 eV per atom. The density of states at the Fermi level comes out at 1.999 states/eV/f.u. The value obtained for the magnetic moment is 0.0 μB/f.u.

---

Below is crystalline Sc2Te2I at its relaxed geometry, with properties calculated at the GGA-PBE level.

Cell lengths 7.288, 7.288, 7.288 Å; angles 146.93, 133.61, 58.14 degrees
Element x y z (fractional)
Sc1 0.183 0.183 0.000
Sc2 0.817 0.817 0.000
Te1 0.341 0.841 0.500
Te2 0.659 0.159 0.500
I1 0.000 0.500 0.500

Values from the calculation:
The uncorrected formation energy is -5.66 eV per formula unit. As for the space group: Immm, No. 71. The value obtained for the total energy is -5.2312 eV/atom. The value obtained for the offset from the most stable computed form is 0.032 eV per atom. The density of states at the Fermi level comes out at 3.175 states/eV/f.u. The value obtained for the magnetic moment is 0.0 μB/f.u.

---

Below is crystalline Sc2TiTeI at its relaxed geometry, with properties calculated at the GGA-PBE level.

Cell lengths 5.205, 5.205, 5.995 Å; angles 90.00, 90.00, 90.00 degrees
Element x y z (fractional)
Sc1 0.000 0.500 0.000
Sc2 0.500 0.000 0.000
Ti1 0.000 0.000 0.500
Te1 0.500 0.500 0.500
I1 0.500 0.500 0.000

Values from the calculation:
The uncorrected formation energy is 4.62 eV per formula unit. As for the space group: P4/mmm, No. 123. The value obtained for the total energy is -4.1264 eV/atom. The density of states at the Fermi level comes out at 9.707 states/eV/f.u. The value obtained for the magnetic moment is 0.0 μB/f.u.